1.
A plane-wave DFT calculation with PBE was carried out for an optimized crystal structure of Tb3Pr4Pu.

a b c (Å): 3.508 11.712 13.114
angles (deg): 90.00 90.00 90.00
Space group Immm (No. 71)
Unique sites:
Tb (0.000, 0.000, 0.000) [2 per cell]
Tb (0.000, 0.500, 0.232) [4 per cell]
Pr (0.000, 0.249, 0.369) [8 per cell]
Pu (0.000, 0.000, 0.500) [2 per cell]

## Properties
- energy (eV per atom) = -5.7636
- calculated volume (A^3/atom) = 33.68
- energy of formation from the pure elements (eV/atom) = 0.154
- magnetization (μB per formula unit) = 6.47

---

2.
A plane-wave DFT calculation with PBE was carried out for an optimized crystal structure of Tb12Pr3Pu.

a b c (Å): 5.066 5.066 20.216
angles (deg): 90.00 90.00 90.00
Space group P4/mmm (No. 123)
Unique sites:
Tb (0.000, 0.000, 0.000) [1 per cell]
Tb (0.000, 0.000, 0.247) [2 per cell]
Tb (0.000, 0.000, 0.500) [1 per cell]
Tb (0.000, 0.500, 0.120) [4 per cell]
Tb (0.000, 0.500, 0.373) [4 per cell]
Pr (0.500, 0.500, 0.247) [2 per cell]
Pr (0.500, 0.500, 0.500) [1 per cell]
Pu (0.500, 0.500, 0.000) [1 per cell]

## Properties
- energy (eV per atom) = -5.2212
- calculated volume (A^3/atom) = 32.42
- energy of formation from the pure elements (eV/atom) = 0.043
- magnetization (μB per formula unit) = 6.25

---

no.,N(E_F) (states/eV/atom)
1,2.149
2,1.868